1.
Material: Pm2Tc
Method: DFT, PBE
State: optimized geometry

Cell and atoms, written as POSCAR:
```
Pm2Tc
1.0
4.1677 2.4062 6.8058
-4.1677 2.4062 6.8058
0.0000 -4.8124 6.8058
Pm Tc
4 2
Cartesian
0.0000 0.0000 7.6565 Pm
2.0838 1.2031 11.0593 Pm
-2.0838 1.2031 11.0593 Pm
0.0000 -2.4062 11.0593 Pm
0.0000 0.0000 5.1043 Tc
0.0000 0.0000 10.2086 Tc
```

Summary:
Relative energy among the computed polymorphs (meV per atom): 4
E_form (eV/atom): 1.21
Total magnetization (μB/f.u.): 0.98
Calculated density (g/cm³): 3.15


2.
Material: TlCdPO
Method: DFT, PBE
State: optimized geometry

Cell and atoms, written as POSCAR:
```
TlCdPO
1.0
4.1417 0.0000 0.0000
0.0000 4.1417 0.0000
0.0000 0.0000 9.0530
O Tl Cd P
2 2 2 2
Cartesian
3.1063 1.0354 0.0000 O
1.0354 3.1063 0.0000 O
1.0354 1.0354 1.0658 Tl
3.1063 3.1063 7.9872 Tl
3.1063 1.0354 4.5265 Cd
1.0354 3.1063 4.5265 Cd
3.1063 3.1063 2.8155 P
1.0354 1.0354 6.2375 P
```

Summary:
Relative energy among the computed polymorphs (meV per atom): 291
Calculated density (g/cm³): 7.78


3.
Material: ScFeCoPb
Method: DFT, PBE
State: optimized geometry

Cell and atoms, written as POSCAR:
```
ScFeCoPb
1.0
0.0000 3.2373 3.2373
3.2373 0.0000 3.2373
3.2373 3.2373 0.0000
Fe Co Pb Sc
1 1 1 1
Cartesian
0.0000 0.0000 0.0000 Fe
4.8560 4.8560 4.8560 Co
1.6187 1.6187 1.6187 Pb
3.2373 3.2373 3.2373 Sc
```

Summary:
Relative energy among the computed polymorphs (meV per atom): 127
Total magnetization (μB/f.u.): 4.17
Calculated density (g/cm³): 8.98


4.
Material: GdNbTc
Method: DFT, PBE
State: optimized geometry

Cell and atoms, written as POSCAR:
```
GdNbTc
1.0
0.0000 3.2114 3.2114
3.2114 0.0000 3.2114
3.2114 3.2114 0.0000
Gd Nb Tc
1 1 1
Cartesian
1.6057 1.6057 1.6057 Gd
0.0000 0.0000 0.0000 Nb
4.8172 4.8172 4.8172 Tc
```

Summary:
Relative energy among the computed polymorphs (meV per atom): 0
E_form (eV/atom): 0.65
Total magnetization (μB/f.u.): 0.00
Calculated density (g/cm³): 8.73


5.
Material: SrNdO3
Method: DFT, PBE
State: optimized geometry

Cell and atoms, written as POSCAR:
```
SrNdO3
1.0
4.4073 0.0000 0.0000
0.0000 4.4073 0.0000
0.0000 0.0000 4.7413
Sr O Nd
1 3 1
Cartesian
0.0000 0.0000 4.4410 Sr
2.2037 2.2037 0.3435 O
0.0000 2.2037 3.1810 O
2.2037 0.0000 3.1810 O
2.2037 2.2037 2.6034 Nd
```

Summary:
Total magnetization (μB/f.u.): 1.00
Calculated density (g/cm³): 5.05
Electronic total energy (eV/atom): -6.755


6.
Material: PrPaAu
Method: DFT, PBE
State: optimized geometry

Cell and atoms, written as POSCAR:
```
PrPaAu
1.0
0.0000 3.5752 3.5752
3.5752 0.0000 3.5752
3.5752 3.5752 0.0000
Pa Pr Au
1 1 1
Cartesian
1.7876 1.7876 1.7876 Pa
5.3629 5.3629 5.3629 Pr
0.0000 0.0000 0.0000 Au
```

Summary:
Relative energy among the computed polymorphs (meV per atom): 0
E_form (eV/atom): 0.15
Total magnetization (μB/f.u.): 2.33
Calculated density (g/cm³): 10.34